No. 1
Material: HoScCu2Pb2
Method: DFT, GGA-PBE
State: optimized geometry

Summary:
As for the calculated density: 9.7 g/cm3. As for the space group: P3m1, No. 156.

a b c (Å): 4.5480 4.5480 7.1579
angles (deg): 90.00 90.00 120.00
Last column: nearest neighbours and their distance in Å.
Fractional coordinates of all 6 atoms:
1 Ho 0.0000 0.0000 0.0000  3 Cu 2.92, 3 Pb 3.13
2 Sc 0.0000 0.0000 0.4991  3 Cu 2.88, 6 Pb 3.07-3.22
3 Cu 0.3333 0.6667 0.3329  4 Pb 2.71-2.78, 3 Sc 2.88
4 Cu 0.6667 0.3333 0.8208  4 Pb 2.72-2.99, 3 Ho 2.92
5 Pb 0.3333 0.6667 0.7219  4 Cu 2.72-2.78
6 Pb 0.6667 0.3333 0.2389  4 Cu 2.71-2.99

=====

No. 2
Material: Gd4BCl5
Method: DFT, GGA-PBE
State: optimized geometry

Summary:
As for the calculated density: 5.2 g/cm3. As for the space group: C2/m, No. 12.

a b c (Å): 8.9235 8.9235 7.9321
angles (deg): 102.80 102.80 25.03
Last column: nearest neighbours and their distance in Å.
Fractional coordinates of all 10 atoms:
1 Gd 0.0023 0.0023 0.2816  2 B 2.60, 2 Cl 2.81-2.88
2 Gd 0.3524 0.3524 0.4150  1 B 2.51, 2 Cl 2.75
3 Gd 0.6476 0.6476 0.5850  1 B 2.51, 2 Cl 2.75
4 Gd 0.9977 0.9977 0.7184  2 B 2.60, 2 Cl 2.81-2.88
5 B 0.5000 0.5000 0.5000  6 Gd 2.51-2.60
6 Cl 0.1627 0.1627 0.8371  3 Gd 2.75-2.81
7 Cl 0.1718 0.1718 0.3445  4 Gd 2.81-3.07
8 Cl 0.5000 0.5000 0.0000  4 Gd 2.95
9 Cl 0.8282 0.8282 0.6555  4 Gd 2.81-3.07
10 Cl 0.8373 0.8373 0.1629  3 Gd 2.75-2.81

=====

No. 3
Material: TaAlIrAu
Method: DFT, GGA-PBE
State: optimized geometry

Summary:
As for the calculated density: 15.4 g/cm3. As for the space group: F-43m, No. 216. The energy above the most stable polymorph in this dataset is 192 meV per atom.

a b c (Å): 4.4942 4.4942 4.4942
angles (deg): 60.00 60.00 60.00
Last column: nearest neighbours and their distance in Å.
Fractional coordinates of all 4 atoms:
1 Ta 0.0000 0.0000 0.0000  4 Au 2.75, 4 Al 2.75
2 Al 0.2500 0.2500 0.2500  4 Ta 2.75, 4 Ir 2.75
3 Ir 0.5000 0.5000 0.5000  4 Au 2.75, 4 Al 2.75
4 Au 0.7500 0.7500 0.7500  4 Ta 2.75, 4 Ir 2.75

=====

No. 4
Material: Pr2DyCu4Ge4
Method: DFT, GGA-PBE
State: optimized geometry

Summary:
As for the calculated density: 8.0 g/cm3. As for the space group: Immm, No. 71.

a b c (Å): 8.1702 8.1702 8.1702
angles (deg): 149.23 131.83 58.26
Last column: nearest neighbours and their distance in Å.
Fractional coordinates of all 11 atoms:
1 Pr 0.1324 0.1324 0.0000  6 Cu 3.05-3.13, 6 Ge 3.08-3.15
2 Pr 0.8676 0.8676 0.0000  6 Cu 3.05-3.13, 6 Ge 3.08-3.15
3 Dy 0.5000 0.0000 0.5000  6 Ge 2.98-3.05
4 Cu 0.1472 0.3334 0.8137  1 Cu 2.48, 4 Ge 2.51-2.70
5 Cu 0.4803 0.6666 0.8137  1 Cu 2.48, 4 Ge 2.51-2.70
6 Cu 0.5197 0.3334 0.1863  1 Cu 2.48, 4 Ge 2.51-2.70
7 Cu 0.8528 0.6666 0.1863  1 Cu 2.48, 4 Ge 2.51-2.70
8 Ge 0.1944 0.5000 0.6944  2 Cu 2.51, 1 Ge 2.59
9 Ge 0.2860 0.7860 0.5000  6 Cu 2.59-2.70
10 Ge 0.7140 0.2140 0.5000  6 Cu 2.59-2.70
11 Ge 0.8056 0.5000 0.3056  2 Cu 2.51, 1 Ge 2.59

=====

No. 5
Material: Sm3Se2NO
Method: DFT, GGA-PBE
State: optimized geometry

Summary:
As for the calculated density: 6.8 g/cm3. As for the space group: C2/m, No. 12.

a b c (Å): 8.1511 8.1511 9.9035
angles (deg): 97.13 97.13 28.37
Last column: nearest neighbours and their distance in Å.
Fractional coordinates of all 14 atoms:
1 Sm 0.0449 0.0449 0.2625  1 N 2.28, 2 O 2.33
2 Sm 0.1977 0.1977 0.6732  1 N 2.22
3 Sm 0.3907 0.3907 0.0538  2 O 2.34-2.37, 2 N 2.40
4 Sm 0.6093 0.6093 0.9462  2 O 2.34-2.37, 2 N 2.40
5 Sm 0.8023 0.8023 0.3268  1 N 2.22
6 Sm 0.9551 0.9551 0.7375  1 N 2.28, 2 O 2.33
7 Se 0.2123 0.2123 0.1498  6 Sm 2.91-3.14
8 Se 0.3719 0.3719 0.5263  5 Sm 2.92-3.27
9 Se 0.6281 0.6281 0.4737  5 Sm 2.92-3.27
10 Se 0.7877 0.7877 0.8502  6 Sm 2.91-3.14
11 N 0.0977 0.0977 0.8116  4 Sm 2.22-2.40
12 N 0.9023 0.9023 0.1884  4 Sm 2.22-2.40
13 O 0.4642 0.4642 0.8599  4 Sm 2.33-2.37
14 O 0.5358 0.5358 0.1401  4 Sm 2.33-2.37

=====

No. 6
Material: SmDyNO
Method: DFT, GGA-PBE
State: optimized geometry

Summary:
As for the calculated density: 8.2 g/cm3. As for the space group: Pmma, No. 51. The energy above the most stable polymorph in this dataset is 0 meV per atom.

a b c (Å): 4.9393 4.0249 6.9572
angles (deg): 90.00 90.00 90.00
Last column: nearest neighbours and their distance in Å.
Fractional coordinates of all 8 atoms:
1 Sm 0.2500 0.0000 0.1646  2 N 2.36, 3 O 2.44-2.47
2 Sm 0.7500 0.0000 0.8354  2 N 2.36, 3 O 2.44-2.47
3 Dy 0.2500 0.5000 0.6668  2 O 2.26, 3 N 2.26-2.47
4 Dy 0.7500 0.5000 0.3332  2 O 2.26, 3 N 2.26-2.47
5 N 0.2500 0.5000 0.3418  3 Dy 2.26-2.47, 2 Sm 2.36
6 N 0.7500 0.5000 0.6582  3 Dy 2.26-2.47, 2 Sm 2.36
7 O 0.2500 0.0000 0.8144  2 Dy 2.26, 3 Sm 2.44-2.47
8 O 0.7500 0.0000 0.1856  2 Dy 2.26, 3 Sm 2.44-2.47

=====

No. 7
Material: UTaW
Method: DFT, GGA-PBE
State: optimized geometry

Summary:
As for the calculated density: 15.3 g/cm3. As for the space group: F-43m, No. 216. The energy above the most stable polymorph in this dataset is 0 meV per atom.

a b c (Å): 4.5274 4.5274 4.5274
angles (deg): 60.00 60.00 60.00
Last column: nearest neighbours and their distance in Å.
Fractional coordinates of all 3 atoms:
1 U 0.0000 0.0000 0.0000  4 W 2.77
2 Ta 0.5000 0.5000 0.5000  4 W 2.77
3 W 0.2500 0.2500 0.2500  4 Ta 2.77, 4 U 2.77

=====

No. 8
Material: SrSn2GeIr
Method: DFT, GGA-PBE
State: optimized geometry

Summary:
As for the calculated density: 8.0 g/cm3. As for the space group: I4mm, No. 107.

a b c (Å): 6.3607 6.3607 6.3607
angles (deg): 136.05 136.05 63.91
Last column: nearest neighbours and their distance in Å.
Fractional coordinates of all 5 atoms:
1 Sr 0.0000 0.0000 0.0000  4 Ge 3.46, 8 Sn 3.55-3.65, 5 Ir 3.71-3.83
2 Sn 0.2439 0.7439 0.5000  2 Ir 2.66
3 Sn 0.7439 0.2439 0.5000  2 Ir 2.66
4 Ge 0.5754 0.5754 0.0000  1 Ir 2.38
5 Ir 0.3549 0.3549 0.0000  1 Ge 2.38, 4 Sn 2.66

=====

No. 9
Material: Cu7Ag3
Method: DFT, GGA-PBE
State: optimized geometry

Summary:
As for the calculated density: 9.3 g/cm3. As for the space group: Cmmm, No. 65. The energy above the most stable polymorph in this dataset is 43 meV per atom.

a b c (Å): 9.6775 9.6775 3.7931
angles (deg): 90.00 90.00 157.25
Last column: nearest neighbours and their distance in Å.
Fractional coordinates of all 10 atoms:
1 Cu 0.0000 0.0000 0.0000  8 Cu 2.66-2.68, 4 Ag 2.69
2 Cu 0.0985 0.9015 0.5000  4 Ag 2.66-2.67, 8 Cu 2.66-2.69
3 Cu 0.3039 0.6961 0.5000  6 Cu 2.65-2.80, 6 Ag 2.69-2.78
4 Cu 0.4012 0.5988 0.0000  8 Cu 2.65-2.69, 4 Ag 2.66-2.67
5 Cu 0.5988 0.4012 0.0000  8 Cu 2.65-2.69, 4 Ag 2.66-2.67
6 Cu 0.6961 0.3039 0.5000  6 Cu 2.65-2.80, 6 Ag 2.69-2.78
7 Cu 0.9015 0.0985 0.5000  4 Ag 2.66-2.67, 8 Cu 2.66-2.69
8 Ag 0.1966 0.8034 0.0000  10 Cu 2.66-2.78, 2 Ag 2.78
9 Ag 0.5000 0.5000 0.5000  12 Cu 2.67-2.69
10 Ag 0.8034 0.1966 0.0000  10 Cu 2.66-2.78, 2 Ag 2.78

=====

No. 10
Material: La2AgHg4Au
Method: DFT, GGA-PBE
State: optimized geometry

Summary:
As for the calculated density: 11.5 g/cm3. As for the space group: Amm2, No. 38.

a b c (Å): 8.0387 5.8072 5.8072
angles (deg): 47.30 90.00 90.00
Last column: nearest neighbours and their distance in Å.
Fractional coordinates of all 8 atoms:
1 La 0.0000 0.0000 0.0000  3 Ag 3.13-3.20, 6 Hg 3.42-3.45
2 La 0.5000 0.1579 0.1579  3 Au 3.16-3.18, 6 Hg 3.44
3 Ag 0.0000 0.2943 0.2943  6 Hg 2.91-2.94, 3 La 3.13-3.20
4 Hg 0.1933 0.7104 0.7104  1 Au 2.94, 2 Ag 2.94, 2 Hg 2.96-3.11
5 Hg 0.3021 0.4450 0.4450  1 Ag 2.91, 2 Hg 2.96-3.18, 2 Au 2.96
6 Hg 0.6979 0.4450 0.4450  1 Ag 2.91, 2 Hg 2.96-3.18, 2 Au 2.96
7 Hg 0.8067 0.7104 0.7104  1 Au 2.94, 2 Ag 2.94, 2 Hg 2.96-3.11
8 Au 0.5000 0.8608 0.8608  6 Hg 2.94-2.96, 3 La 3.16-3.18

=====

In eV/atom, the E values for the records above are, in order, -4.63 -5.13 -7.04 -4.91 -7.14 -7.83 -11.25 -5.14 -3.36 -2.57.